No. 1
Computed, not measured: a geometry-optimized Hg2AuBr structure at the PBE-GGA level of DFT.

Calculated values
E_form (uncorrected): -51 meV/atom
E: -1.439 eV/atom
DOS(E_F): 0.8 states/eV per cell
mass density: 9.5 Mg/m³

Unit cell a=4.0427 b=5.5594 c=10.5728 alpha=90.00 beta=90.00 gamma=90.00
With the nearest neighbours (Å) after each atom.
Space group Amm2 (No. 38)
Symmetry-distinct sites (fractional):
Hg  0.0000  0.0000  0.0000 x2  2 Au 2.78
Hg  0.5000  0.0000  0.3324 x2  2 Au 2.79, 2 Br 3.09
Au  0.0000  0.0000  0.5148 x2  4 Hg 2.78-2.79, 2 Br 2.86
Br  0.5000  0.0000  0.7058 x2  2 Au 2.86, 2 Hg 3.09

=====

No. 2
Computed, not measured: a geometry-optimized Hg2AuBr2 structure at the PBE-GGA level of DFT.

Calculated values
E_form (uncorrected): 104 meV/atom
E: -1.341 eV/atom
DOS(E_F): 9.1 states/eV per cell
mass density: 9.4 Mg/m³

Unit cell a=7.4849 b=7.4849 c=4.7893 alpha=90.00 beta=90.00 gamma=90.00
With the nearest neighbours (Å) after each atom.
Space group P4/mbm (No. 127)
Symmetry-distinct sites (fractional):
Hg  0.1330  0.3670  0.0000 x4  1 Hg 2.82, 2 Br 2.91, 2 Au 2.92
Au  0.0000  0.0000  0.0000 x2  4 Hg 2.92
Br  0.2105  0.7105  0.5000 x4  2 Hg 2.91

=====

No. 3
Computed, not measured: a geometry-optimized Hg2AuBr structure at the PBE-GGA level of DFT.

Calculated values
E_form (uncorrected): -49 meV/atom
E: -1.437 eV/atom
DOS(E_F): 1.2 states/eV per cell
mass density: 9.3 Mg/m³

Unit cell a=5.3056 b=4.4786 c=5.7348 alpha=90.00 beta=117.47 gamma=90.00
With the nearest neighbours (Å) after each atom.
Space group P2/m (No. 10)
Symmetry-distinct sites (fractional):
Hg  0.1844  0.0000  0.3681 x2  2 Au 2.92, 2 Hg 2.97
Au  0.0000  0.5000  0.0000 x1  2 Br 2.65, 4 Hg 2.92
Br  0.5000  0.5000  0.0000 x1  2 Au 2.65